The following is a PBE-GGA calculation of a relaxed structure of CoPPb, from Alexandria.

The structure in POSCAR format:
```
CoPPb
1.0
-3.4261 -2.0590 -1.4723
0.1752 -2.0185 -3.7470
-0.0338 -4.2576 -0.1293
Pb Co P
1 1 1
Cartesian
-1.6423 -4.1676 -2.6743
-2.4634 -6.2514 -4.0115
0.0000 0.0000 0.0000
```

Density of states at the Fermi level in states/eV/atom: 0.887
Calculated formation energy in meV per atom: 298